Here is crystalline Ta2NbAlN at its relaxed geometry from Alexandria. Energies are from PBE.

Cell lengths 4.1966, 4.1966, 4.3831 Å; angles 90.00, 90.00, 90.00 degrees
Element x y z (fractional)
Ta1 0.0000 0.5000 0.0000
Ta2 0.5000 0.0000 0.0000
Nb1 0.0000 0.0000 0.5000
Al1 0.5000 0.5000 0.5000
N1 0.0000 0.0000 0.0000

Calculated density in g/cm³: 10.67
Energy relative to the elements, uncorrected in kcal/mol of atoms: -10.2
Space group: P4/mmm, No. 123
DOS(E_F) in states/eV per cell: 6.4
Total magnetic moment in μB per formula unit: 0.00